Density functional theory data (GGA-PBE) for a relaxed Sr2MnAl2 crystal.

a b c (Å): 4.4968 4.4968 7.6879
angles (deg): 72.99 72.99 90.00
Last column: magnetic moment on the atom in μB.
Sites, in units of the cell vectors:
Al (0.5866, 0.5866, 0.8269)  0.01
Al (0.4134, 0.4134, 0.1731)  0.01
Mn (0.0000, 0.0000, 0.0000)  0.06
Sr (0.2500, 0.7500, 0.5000)  -0.01
Sr (0.7500, 0.2500, 0.5000)  -0.01

Values from the calculation:
- polymorph energy (0 for the lowest one) (eV/f.u.) = 3.44
- total moment (μB per formula unit) = 0.1
- formation energy (kJ/mol of atoms) = 106.44
- N(E_F) (states/eV/atom) = 1.3676